[1]
{
  "formula": "NbTlCuRe",
  "functional": "PBE",
  "state": "optimized geometry",
  "lattice_angstrom": [[-0.0622, -4.5670, 0.3760], [-3.8039, -2.3335, -1.0431], [-0.1282, -2.6077, -3.7665]],
  "species": ["Cu", "Nb", "Tl", "Re"],
  "fractional_positions": [[0.7500, 0.7500, 0.7500], [0.5000, 0.5000, 0.5000], [0.0000, 0.0000, 0.0000], [0.2500, 0.2500, 0.2500]],
  "sg": "No. 216",
  "mass_density_g_cm3": 13.35,
  "relative_energy_ev_per_atom": 0.0000,
  "magnetic_moment_mub_per_cell": 0.00,
  "crystal_system": "cubic"
}

---

[2]
{
  "formula": "NbCu3S4",
  "functional": "PBE",
  "state": "optimized geometry",
  "lattice_angstrom": [[3.8916, -3.9207, 0.0000], [3.8916, 3.9207, 0.0000], [0.0000, 0.0000, 5.5229]],
  "species": ["S", "S", "S", "S", "Cu", "Cu", "Cu", "Nb"],
  "fractional_positions": [[0.2421, 0.7579, 0.7564], [0.2440, 0.2440, 0.2425], [0.7560, 0.7560, 0.2425], [0.7579, 0.2421, 0.7564], [0.0000, 0.0000, 0.5001], [0.0000, 0.5000, 0.0014], [0.5000, 0.0000, 0.0014], [0.0000, 0.0000, 0.9993]],
  "sg": "No. 35",
  "mass_density_g_cm3": 4.06,
  "dft_energy_ev_per_cell": -42.587,
  "magnetic_moment_mub_per_cell": 0.00,
  "crystal_system": "orthorhombic"
}

---

[3]
{
  "formula": "NbCuS3",
  "functional": "PBE",
  "state": "optimized geometry",
  "lattice_angstrom": [[9.5342, 0.0000, 0.0000], [0.0000, 3.5130, 0.0000], [0.0000, 0.0000, 11.9469]],
  "species": ["S", "S", "S", "S", "S", "S", "S", "S", "S", "S", "S", "S", "Nb", "Nb", "Nb", "Nb", "Cu", "Cu", "Cu", "Cu"],
  "fractional_positions": [[0.0823, 0.7500, 0.4022], [0.7190, 0.7500, 0.4033], [0.4194, 0.2500, 0.3218], [0.5823, 0.7500, 0.0978], [0.4177, 0.2500, 0.9022], [0.0806, 0.7500, 0.8218], [0.9194, 0.2500, 0.1782], [0.7810, 0.2500, 0.9033], [0.2810, 0.2500, 0.5967], [0.2190, 0.7500, 0.0967], [0.5806, 0.7500, 0.6782], [0.9177, 0.2500, 0.5978], [0.3921, 0.2500, 0.1299], [0.6079, 0.7500, 0.8701], [0.1079, 0.7500, 0.6299], [0.8921, 0.2500, 0.3701], [0.7716, 0.7500, 0.2156], [0.2284, 0.2500, 0.7844], [0.7284, 0.2500, 0.7156], [0.2716, 0.7500, 0.2844]],
  "sg": "No. 62",
  "mass_density_g_cm3": 4.19,
  "dft_energy_ev_per_cell": -119.213,
  "magnetic_moment_mub_per_cell": 0.01,
  "crystal_system": "orthorhombic"
}

---

[4]
{
  "formula": "Nb3CuS5",
  "functional": "PBE",
  "state": "optimized geometry",
  "lattice_angstrom": [[5.6500, 0.0000, 0.0000], [-2.8250, 4.8931, 0.0000], [0.0000, 0.0000, 7.0662]],
  "species": ["Nb", "Nb", "Nb", "S", "S", "S", "S", "S", "Cu"],
  "fractional_positions": [[0.0000, 0.5000, 0.5000], [0.5000, 0.0000, 0.5000], [0.5000, 0.5000, 0.5000], [0.3333, 0.6667, 0.2328], [0.0000, 0.0000, 0.5000], [0.6667, 0.3333, 0.7672], [0.3333, 0.6667, 0.7672], [0.6667, 0.3333, 0.2328], [0.0000, 0.0000, 0.0000]],
  "sg": "No. 191",
  "mass_density_g_cm3": 4.27,
  "dft_energy_ev_per_cell": -57.312,
  "magnetic_moment_mub_per_cell": 0.00,
  "crystal_system": "hexagonal"
}

---

[5]
{
  "formula": "NbCu2Se2S",
  "functional": "PBE",
  "state": "optimized geometry",
  "lattice_angstrom": [[-4.0687, 5.3349, -6.8565], [-2.0044, 3.0676, -8.8656], [-4.9859, -4.6387, 0.1120]],
  "species": ["Cu", "Cu", "Cu", "Cu", "S", "S", "Nb", "Nb", "Se", "Se", "Se", "Se"],
  "fractional_positions": [[0.4595, 0.4595, 0.3346], [0.2085, 0.2085, 0.9424], [0.5405, 0.5405, 0.6654], [0.7915, 0.7915, 0.0576], [0.5848, 0.5848, 0.3599], [0.4152, 0.4152, 0.6401], [0.1459, 0.1459, 0.5570], [0.8541, 0.8541, 0.4430], [0.9180, 0.9180, 0.1280], [0.7467, 0.7467, 0.7086], [0.2533, 0.2533, 0.2914], [0.0820, 0.0820, 0.8720]],
  "sg": "No. 12",
  "mass_density_g_cm3": 5.81,
  "dft_energy_ev_per_cell": -62.850,
  "magnetic_moment_mub_per_cell": 1.30,
  "crystal_system": "monoclinic"
}

---

[6]
{
  "formula": "NbCu3Se3S",
  "functional": "PBE",
  "state": "optimized geometry",
  "lattice_angstrom": [[-2.2287, -4.7298, 2.1234], [0.0260, -2.3903, -5.1121], [5.1568, -2.0956, 0.9294]],
  "species": ["Cu", "Cu", "Cu", "Se", "Se", "Se", "Nb", "S"],
  "fractional_positions": [[0.4965, 0.0067, 0.0067], [0.0067, 0.0067, 0.4965], [0.0067, 0.4965, 0.0067], [0.7490, 0.2576, 0.7490], [0.2576, 0.7490, 0.7490], [0.7490, 0.7490, 0.2576], [0.9993, 0.9993, 0.9993], [0.2352, 0.2352, 0.2352]],
  "sg": "No. 160",
  "mass_density_g_cm3": 5.11,
  "dft_energy_ev_per_cell": -40.185,
  "magnetic_moment_mub_per_cell": 0.00,
  "crystal_system": "trigonal"
}

---

[7]
{
  "formula": "NbCu3SeS3",
  "functional": "PBE",
  "state": "optimized geometry",
  "lattice_angstrom": [[3.9348, 2.2717, 3.1703], [-3.9348, 2.2717, 3.1703], [0.0000, -4.5435, 3.1703]],
  "species": ["S", "S", "S", "Cu", "Cu", "Cu", "Se", "Nb"],
  "fractional_positions": [[0.7608, 0.2432, 0.2432], [0.2432, 0.7608, 0.2432], [0.2432, 0.2432, 0.7608], [0.4977, 0.0068, 0.0068], [0.0068, 0.0068, 0.4977], [0.0068, 0.4977, 0.0068], [0.7416, 0.7416, 0.7416], [0.9999, 0.9999, 0.9999]],
  "sg": "No. 160",
  "mass_density_g_cm3": 4.48,
  "dft_energy_ev_per_cell": -41.779,
  "magnetic_moment_mub_per_cell": 0.00,
  "crystal_system": "trigonal"
}

---

[8]
{
  "formula": "Nb2CuSe4S2",
  "functional": "PBE",
  "state": "optimized geometry",
  "lattice_angstrom": [[-0.5415, 5.3460, 4.1034], [0.2043, 2.8020, 6.1497], [9.1218, -1.5900, -5.3013]],
  "species": ["S", "S", "Se", "Se", "Se", "Se", "Nb", "Nb", "Cu"],
  "fractional_positions": [[0.2011, 0.2011, 0.1316], [0.7989, 0.7989, 0.8684], [0.0003, 0.0003, 0.2279], [0.3390, 0.3390, 0.4651], [0.9997, 0.9997, 0.7721], [0.6610, 0.6610, 0.5349], [0.3273, 0.3273, 0.7173], [0.6727, 0.6727, 0.2827], [0.0000, 0.0000, 0.0000]],
  "sg": "No. 12",
  "mass_density_g_cm3": 5.17,
  "dft_energy_ev_per_cell": -51.773,
  "magnetic_moment_mub_per_cell": 0.01,
  "crystal_system": "monoclinic"
}

---

[9]
{
  "formula": "SrNbCuS3",
  "functional": "PBE",
  "state": "optimized geometry",
  "lattice_angstrom": [[1.8642, -6.5457, 0.0000], [1.8642, 6.5457, 0.0000], [0.0000, 0.0000, 9.5417]],
  "species": ["Sr", "Sr", "Cu", "Cu", "S", "S", "S", "S", "S", "S", "Nb", "Nb"],
  "fractional_positions": [[0.7548, 0.2452, 0.2500], [0.2452, 0.7548, 0.7500], [0.5298, 0.4702, 0.7500], [0.4702, 0.5298, 0.2500], [0.3658, 0.6342, 0.0530], [0.6342, 0.3658, 0.9470], [0.9257, 0.0743, 0.7500], [0.3658, 0.6342, 0.4470], [0.0743, 0.9257, 0.2500], [0.6342, 0.3658, 0.5530], [0.0000, 0.0000, 0.0000], [0.0000, 0.0000, 0.5000]],
  "sg": "No. 63",
  "mass_density_g_cm3": 4.85,
  "dft_energy_ev_per_cell": -68.507,
  "magnetic_moment_mub_per_cell": 2.83,
  "crystal_system": "orthorhombic"
}

---

[10]
{
  "formula": "NbCu3Te2S2",
  "functional": "PBE",
  "state": "optimized geometry",
  "lattice_angstrom": [[1.0377, 5.3305, 1.8995], [-5.6586, 0.9820, -0.3391], [-0.6340, -1.7944, 5.3818]],
  "species": ["Cu", "Cu", "Cu", "Te", "Te", "S", "S", "Nb"],
  "fractional_positions": [[0.0000, 0.0000, 0.5102], [0.0000, 0.5000, 0.9751], [0.5000, 0.0000, 0.9751], [0.7264, 0.7264, 0.2620], [0.2736, 0.2736, 0.2620], [0.2287, 0.7713, 0.7593], [0.7713, 0.2287, 0.7593], [0.0000, 0.0000, 0.9970]],
  "sg": "No. 35",
  "mass_density_g_cm3": 5.30,
  "dft_energy_ev_per_cell": -39.367,
  "magnetic_moment_mub_per_cell": 0.00,
  "crystal_system": "orthorhombic"
}

---

[11]
{
  "formula": "NbTlCuTeS2",
  "functional": "PBE",
  "state": "optimized geometry",
  "lattice_angstrom": [[-7.7796, 2.4868, -0.3391], [6.0473, -5.4801, -0.4688], [-1.0790, -2.0330, 9.8465]],
  "species": ["Tl", "Tl", "S", "S", "S", "S", "Te", "Te", "Cu", "Cu", "Nb", "Nb"],
  "fractional_positions": [[0.7778, 0.2222, 0.7500], [0.2222, 0.7778, 0.2500], [0.3942, 0.6058, 0.5577], [0.3942, 0.6058, 0.9423], [0.6058, 0.3942, 0.4423], [0.6058, 0.3942, 0.0577], [0.9123, 0.0877, 0.2500], [0.0877, 0.9123, 0.7500], [0.5344, 0.4656, 0.2500], [0.4656, 0.5344, 0.7500], [0.0000, 0.0000, 0.5000], [0.0000, 0.0000, 0.0000]],
  "sg": "No. 63",
  "mass_density_g_cm3": 6.40,
  "dft_energy_ev_per_cell": -61.006,
  "magnetic_moment_mub_per_cell": 0.36,
  "crystal_system": "orthorhombic"
}

---

[12]
{
  "formula": "NbTlCuS3",
  "functional": "PBE",
  "state": "optimized geometry",
  "lattice_angstrom": [[11.3775, 0.0000, 0.0000], [0.0000, 3.5468, 0.0000], [0.0000, 0.0000, 11.7968]],
  "species": ["Nb", "Nb", "Nb", "Nb", "Tl", "Tl", "Tl", "Tl", "S", "S", "S", "S", "S", "S", "S", "S", "S", "S", "S", "S", "Cu", "Cu", "Cu", "Cu"],
  "fractional_positions": [[0.0435, 0.0000, 0.6544], [0.4565, 0.5000, 0.1544], [0.9565, 0.5000, 0.3456], [0.5435, 0.0000, 0.8456], [0.8438, 0.5000, 0.0034], [0.3438, 0.5000, 0.4966], [0.1562, 0.0000, 0.9966], [0.6562, 0.0000, 0.5034], [0.5280, 0.5000, 0.6973], [0.5941, 0.0000, 0.0690], [0.0280, 0.5000, 0.8027], [0.2546, 0.0000, 0.6770], [0.4059, 0.5000, 0.9310], [0.7454, 0.5000, 0.3230], [0.0941, 0.0000, 0.4310], [0.2454, 0.5000, 0.1770], [0.7546, 0.0000, 0.8230], [0.9720, 0.0000, 0.1973], [0.4720, 0.0000, 0.3027], [0.9059, 0.5000, 0.5690], [0.7385, 0.5000, 0.6976], [0.2615, 0.0000, 0.3024], [0.7615, 0.0000, 0.1976], [0.2385, 0.5000, 0.8024]],
  "sg": "No. 62",
  "mass_density_g_cm3": 6.38,
  "dft_energy_ev_per_cell": -126.528,
  "magnetic_moment_mub_per_cell": 3.71,
  "crystal_system": "orthorhombic"
}